Entry from Alexandria: a relaxed ZrCd2Si crystal (PBE).

```
4
Lattice="10.329 0.053 0.031 9.854 3.098 0.031 9.854 1.539 2.689" Properties=species:S:1:pos:R:3 pbc="T T T"
Si 22.528 3.518 2.064
Cd 14.937 2.332 1.368
Cd 0.081 0.013 0.007
Zr 7.509 1.173 0.688
```

Output
* uncorrected formation energy: 0.23 eV/atom

=====

Entry from Alexandria: a relaxed ErMg2Fe9 crystal (PBE).

```
12
Lattice="-3.006 1.020 -3.798 -3.257 -3.386 -1.556 -7.441 2.061 3.218" Properties=species:S:1:pos:R:3 pbc="T T T"
Fe -9.522 1.268 1.427
Fe -7.576 1.856 0.044
Fe -6.128 -2.162 -2.181
Fe -6.852 -0.153 -1.068
Fe -4.183 -1.574 -3.563
Fe -6.001 0.059 -3.311
Fe -9.218 0.149 -0.740
Fe -4.486 -0.455 -1.396
Mg -8.568 -1.140 -3.200
Fe -7.703 -0.365 1.175
Er 0.000 0.000 0.000
Mg -5.136 0.834 1.064
```

Output
* energy of formation: 14 meV/atom

=====

Entry from Alexandria: a relaxed Rb2VZnCo crystal (PBE).

```
5
Lattice="6.762 0.000 0.000 0.000 4.330 0.000 0.000 0.000 6.762" Properties=species:S:1:pos:R:3 pbc="T T T"
Co 0.000 0.000 0.000
Rb 3.381 0.000 0.000
Zn 3.381 2.165 3.381
V 0.000 2.165 0.000
Rb 0.000 0.000 3.381
```

Output
* energy of formation: 990 meV/atom

=====

Entry from Alexandria: a relaxed VSiMo crystal (PBE).

```
12
Lattice="4.205 0.000 0.000 0.000 3.216 0.000 0.000 0.000 12.381" Properties=species:S:1:pos:R:3 pbc="T T T"
Mo 0.000 0.000 11.895
V 0.000 1.608 9.786
V 0.000 0.000 3.596
V 2.102 0.000 5.985
Si 2.102 1.608 3.989
Si 2.102 0.000 10.180
Mo 2.102 0.000 1.942
Mo 2.102 1.608 8.133
V 2.102 1.608 12.176
Mo 0.000 1.608 5.704
Si 0.000 0.000 7.742
Si 0.000 1.608 1.552
```

Output
* uncorrected formation energy: -0.33 eV/atom

=====

Entry from Alexandria: a relaxed Hg3W crystal (PBE).

```
4
Lattice="-1.710 0.772 -2.277 -2.697 -4.050 2.565 -1.572 4.391 2.671" Properties=species:S:1:pos:R:3 pbc="T T T"
Hg -0.114 -0.022 0.078
Hg -4.225 -1.446 2.683
W -3.025 -0.348 0.242
Hg -2.956 1.461 2.716
```

Output
* energy of formation: 781 meV/atom

=====

Entry from Alexandria: a relaxed Y3Tl4InTe8 crystal (PBE).

```
16
Lattice="-5.649 -5.438 4.239 5.049 1.074 8.106 -3.051 7.372 -3.980" Properties=species:S:1:pos:R:3 pbc="T T T"
Te -2.015 0.268 7.029
In 2.525 0.537 4.053
Te -4.474 0.049 3.472
Te -1.636 2.741 1.336
Y 0.999 4.223 2.063
Tl 0.000 0.000 0.000
Te -0.715 6.679 2.884
Y -0.300 -2.182 6.173
Tl -2.825 -2.719 2.120
Y -1.825 1.504 4.182
Te -2.935 -3.671 5.481
Tl -1.525 3.686 -1.990
Te -0.084 -0.926 3.341
Te -3.566 3.934 5.023
Te 0.824 2.959 4.893
Tl -4.350 0.967 0.130
```

Output
* uncorrected formation energy: -0.86 eV/atom

=====

Entry from Alexandria: a relaxed CrSbTe2Au crystal (PBE).

```
5
Lattice="-3.406 -2.034 3.169 -0.857 -3.742 -3.323 3.667 -2.764 2.167" Properties=species:S:1:pos:R:3 pbc="T T T"
Te -0.428 -1.871 -1.662
Te -1.703 -1.017 1.584
Sb 1.833 -1.382 1.084
Cr 0.000 0.000 0.000
Au -0.298 -4.270 1.006
```

Output
* uncorrected formation energy: 0.53 eV/atom

=====

Entry from Alexandria: a relaxed HfZnIrO6 crystal (PBE).

```
18
Lattice="4.745 0.000 0.000 0.000 4.745 0.000 0.000 0.000 9.453" Properties=species:S:1:pos:R:3 pbc="T T T"
Ir 2.373 2.373 7.884
Ir 0.000 0.000 3.158
O 3.290 3.290 9.386
O 0.922 3.823 1.700
Zn 0.000 0.000 9.450
Hf 2.373 2.373 1.552
Hf 0.000 0.000 6.278
O 3.295 3.295 6.426
O 1.455 1.455 9.386
O 1.450 1.450 6.426
O 0.917 3.828 4.659
O 3.393 3.393 3.103
O 3.828 0.917 4.659
O 3.823 0.922 1.700
O 1.352 1.352 3.103
O 1.020 3.725 7.829
Zn 2.373 2.373 4.724
O 3.725 1.020 7.829
```

Output
* uncorrected formation energy: -1.67 eV/atom

=====

no.,calculated total energy (eV per atom),calculated volume (Å³ per cell)
1,-3.717,84
2,-6.979,167
3,-2.897,198
4,-8.786,167
5,-2.684,82
6,-4.405,559
7,-4.136,131
8,-7.207,213